Entry 1:
VASP calculation (GGA-PBE) on NdGd after structural relaxation.

a = 4.6088 Å, b = 4.6088 Å, c = 4.6088 Å
α = 60.00°, β = 60.00°, γ = 60.00°
Site moments in Bohr magnetons follow the coordinates.
Fractional coordinates of all 2 atoms:
Gd1 0.0000 0.0000 0.0000  0.26
Nd1 0.5000 0.5000 0.5000  0.20

Spin magnetization, μB per formula unit: 0.64
ΔH_f (0 K), kcal/mol of atoms: 15.4

Entry 2:
VASP calculation (GGA-PBE) on Cu5Ag4 after structural relaxation.

a = 6.0242 Å, b = 6.0242 Å, c = 8.3148 Å
α = 103.15°, β = 103.15°, γ = 26.50°
Fractional coordinates of all 9 atoms:
Ag1 0.6604 0.6604 0.0552
Ag2 0.6617 0.6617 0.3878
Ag3 0.3383 0.3383 0.6122
Ag4 0.3396 0.3396 0.9448
Cu1 0.9927 0.9927 0.1751
Cu2 0.3450 0.3450 0.2836
Cu3 0.0000 0.0000 0.5000
Cu4 0.6550 0.6550 0.7164
Cu5 0.0073 0.0073 0.8249

ΔH_f (0 K), kcal/mol of atoms: 2.2

Entry 3:
VASP calculation (GGA-PBE) on Cs2Tb4Cu4Se9 after structural relaxation.

a = 7.6441 Å, b = 7.6441 Å, c = 16.7884 Å
α = 107.90°, β = 107.90°, γ = 31.52°
Fractional coordinates of all 19 atoms:
Cs1 0.4694 0.4694 0.2283
Cs2 0.5306 0.5306 0.7717
Cu1 0.7479 0.7479 0.2306
Cu2 0.0728 0.0728 0.4672
Cu3 0.9273 0.9273 0.5328
Cu4 0.2521 0.2521 0.7694
Se1 0.5000 0.5000 0.0000
Se2 0.7932 0.7932 0.0985
Se3 0.1589 0.1589 0.2248
Se4 0.8942 0.8942 0.3761
Se5 0.6397 0.6397 0.4247
Se6 0.3603 0.3603 0.5753
Se7 0.1058 0.1058 0.6239
Se8 0.8411 0.8411 0.7752
Se9 0.2068 0.2068 0.9015
Tb1 0.1536 0.1536 0.0550
Tb2 0.2700 0.2700 0.3981
Tb3 0.7300 0.7300 0.6019
Tb4 0.8464 0.8464 0.9450

Spin magnetization, μB per formula unit: 0.00
DFT total energy, eV per formula unit: -90.9

Entry 4:
VASP calculation (GGA-PBE) on TcPbNO after structural relaxation.

a = 3.3237 Å, b = 5.6072 Å, c = 6.8783 Å
α = 90.00°, β = 90.00°, γ = 90.00°
Fractional coordinates of all 8 atoms:
N1 0.0000 0.9950 0.3268
N2 0.0000 0.4950 0.6732
O1 0.5000 0.2822 0.0412
O2 0.5000 0.7822 0.9588
Pb1 0.0000 0.5101 0.3052
Pb2 0.0000 0.0101 0.6948
Tc1 0.5000 0.9666 0.1966
Tc2 0.5000 0.4666 0.8034

Spin magnetization, μB per formula unit: 0.02
DFT total energy, eV per formula unit: -28.1

Entry 5:
VASP calculation (GGA-PBE) on TbGdSeO2 after structural relaxation.

a = 3.8561 Å, b = 3.8561 Å, c = 6.8094 Å
α = 90.00°, β = 90.00°, γ = 120.00°
Fractional coordinates of all 5 atoms:
Gd1 0.0000 0.0000 0.7109
O1 0.0000 0.0000 0.3726
O2 0.3333 0.6667 0.6255
Se1 0.6667 0.3333 0.0013
Tb1 0.3333 0.6667 0.2898

Spin magnetization, μB per formula unit: 0.00
DFT total energy, eV per formula unit: -38.2

Entry 6:
VASP calculation (GGA-PBE) on HoGa after structural relaxation.

a = 3.5068 Å, b = 3.5068 Å, c = 4.5592 Å
α = 90.00°, β = 90.00°, γ = 120.00°
Fractional coordinates of all 2 atoms:
Ga1 0.6667 0.3333 0.7500
Ho1 0.3333 0.6667 0.2500

Spin magnetization, μB per formula unit: 0.01
DFT total energy, eV per formula unit: -8.2

Entry 7:
VASP calculation (GGA-PBE) on CsSmNiSe3 after structural relaxation.

a = 16.2211 Å, b = 4.1518 Å, c = 11.1934 Å
α = 90.00°, β = 90.00°, γ = 90.00°
Site moments in Bohr magnetons follow the coordinates.
Fractional coordinates of all 24 atoms:
Cs1 0.7678 0.2500 0.0134  0.00
Cs2 0.2678 0.2500 0.4866  0.00
Cs3 0.7322 0.7500 0.5134  0.00
Cs4 0.2322 0.7500 0.9866  0.00
Ni1 0.9857 0.7500 0.0900  0.76
Ni2 0.4857 0.7500 0.4100  0.76
Ni3 0.5143 0.2500 0.5900  0.76
Ni4 0.0143 0.2500 0.9100  0.76
Se1 0.5937 0.7500 0.0799  0.02
Se2 0.0603 0.2500 0.1070  0.16
Se3 0.8760 0.7500 0.2366  0.10
Se4 0.3760 0.7500 0.2634  0.10
Se5 0.5603 0.2500 0.3930  0.16
Se6 0.0937 0.7500 0.4201  0.02
Se7 0.9063 0.2500 0.5799  0.02
Se8 0.4397 0.7500 0.6070  0.16
Se9 0.6240 0.2500 0.7366  0.10
Se10 0.1240 0.2500 0.7634  0.10
Se11 0.9397 0.7500 0.8930  0.16
Se12 0.4063 0.2500 0.9201  0.02
Sm1 0.4776 0.2500 0.1550  0.01
Sm2 0.9776 0.2500 0.3450  0.01
Sm3 0.0224 0.7500 0.6550  0.01
Sm4 0.5224 0.7500 0.8450  0.01

Spin magnetization, μB per formula unit: 1.26
DFT total energy, eV per formula unit: -28.7

Entry 8:
VASP calculation (GGA-PBE) on NdGdTlPd2 after structural relaxation.

a = 3.7441 Å, b = 7.8964 Å, c = 7.8964 Å
α = 30.82°, β = 90.00°, γ = 90.00°
Fractional coordinates of all 5 atoms:
Gd1 0.5000 0.6347 0.6347
Nd1 0.5000 0.3673 0.3673
Pd1 0.0000 0.1900 0.1900
Pd2 0.0000 0.8067 0.8067
Tl1 0.0000 0.0013 0.0013

Spin magnetization, μB per formula unit: 0.00
DFT total energy, eV per formula unit: -25.8

Entry 9:
VASP calculation (GGA-PBE) on NpReNi after structural relaxation.

a = 4.2049 Å, b = 4.2049 Å, c = 4.2049 Å
α = 60.00°, β = 60.00°, γ = 60.00°
Site moments in Bohr magnetons follow the coordinates.
Fractional coordinates of all 3 atoms:
Ni1 0.0000 0.0000 0.0000  -0.12
Np1 0.7500 0.7500 0.7500  1.36
Re1 0.2500 0.2500 0.2500  -0.41

Spin magnetization, μB per formula unit: 0.73
ΔH_f (0 K), kcal/mol of atoms: 13.5

Entry 10:
VASP calculation (GGA-PBE) on PuZn after structural relaxation.

a = 5.3371 Å, b = 8.6107 Å, c = 4.9550 Å
α = 90.00°, β = 90.00°, γ = 68.92°
Fractional coordinates of all 10 atoms:
Pu1 0.8292 0.3885 0.0000
Pu2 0.1816 0.6029 0.0000
Pu3 0.5794 0.8226 0.0000
Pu4 0.4870 0.3786 0.5000
Pu5 0.2453 0.8107 0.5000
Zn1 0.9625 0.0138 0.0000
Zn2 0.4213 0.1959 0.0000
Zn3 0.6604 0.0061 0.5000
Zn4 0.1141 0.1808 0.5000
Zn5 0.8523 0.6001 0.5000

Spin magnetization, μB per formula unit: 5.82
ΔH_f (0 K), kcal/mol of atoms: -0.8

Entry 11:
VASP calculation (GGA-PBE) on CuGe2Mo2 after structural relaxation.

a = 6.4156 Å, b = 6.4156 Å, c = 6.4156 Å
α = 145.17°, β = 145.17°, γ = 50.08°
Fractional coordinates of all 5 atoms:
Cu1 0.0000 0.0000 0.0000
Ge1 0.3992 0.3992 0.0000
Ge2 0.6008 0.6008 0.0000
Mo1 0.7500 0.2500 0.5000
Mo2 0.2500 0.7500 0.5000

Spin magnetization, μB per formula unit: 0.00
DFT total energy, eV per formula unit: -32.7

Entry 12:
VASP calculation (GGA-PBE) on Zn2BOs after structural relaxation.

a = 4.0983 Å, b = 4.0983 Å, c = 4.0983 Å
α = 60.00°, β = 60.00°, γ = 60.00°
Fractional coordinates of all 4 atoms:
B1 0.5000 0.5000 0.5000
Os1 0.2500 0.2500 0.2500
Zn1 0.0000 0.0000 0.0000
Zn2 0.7500 0.7500 0.7500

Spin magnetization, μB per formula unit: 0.00
DFT total energy, eV per formula unit: -17.7